Entry 1:
## LaMg2ZnIn2 (PBE-GGA)

Data for crystalline LaMg2ZnIn2 at its relaxed geometry.

```
LaMg2ZnIn2
1.0
-2.7743 2.7743 5.8479
2.7743 -2.7743 5.8479
2.7743 2.7743 -5.8479
La Mg Zn In
1 2 1 2
Direct
0.0000 0.0000 0.0000 La
0.2500 0.7500 0.5000 Mg
0.7500 0.2500 0.5000 Mg
0.5000 0.5000 0.0000 Zn
0.2840 0.2840 0.0000 In
0.7160 0.7160 0.0000 In
```

Its space group is No. 139. The raw total energy comes out at -2.32 eV per atom.



Entry 2:
## LaMgZnIn2 (PBE-GGA)

Data for crystalline LaMgZnIn2 at its relaxed geometry.

```
LaMgZnIn2
1.0
-2.2715 2.2715 6.0848
2.2715 -2.2715 6.0848
2.2715 2.2715 -6.0848
La Mg Zn In
1 1 1 2
Direct
0.0000 0.0000 0.0000 La
0.7500 0.2500 0.5000 Mg
0.2500 0.7500 0.5000 Zn
0.3854 0.3854 0.0000 In
0.6146 0.6146 0.0000 In
```

Its space group is No. 119. The raw total energy comes out at -2.98 eV per atom.



Entry 3:
## La2MgZn3In4 (PBE-GGA)

Data for crystalline La2MgZn3In4 at its relaxed geometry.

```
La2MgZn3In4
1.0
4.5513 0.0000 0.0000
0.0000 4.5513 0.0000
0.0000 0.0000 11.6053
La Mg Zn In
2 1 3 4
Direct
0.0000 0.5000 0.2438 La
0.5000 0.0000 0.7562 La
0.0000 0.0000 0.5000 Mg
0.0000 0.5000 0.8633 Zn
0.5000 0.0000 0.1367 Zn
0.5000 0.5000 0.5000 Zn
0.0000 0.0000 0.0000 In
0.0000 0.5000 0.6407 In
0.5000 0.0000 0.3593 In
0.5000 0.5000 0.0000 In
```

Its space group is No. 115. The raw total energy comes out at -2.99 eV per atom.



Entry 4:
## LaMgZn2In (PBE-GGA)

Data for crystalline LaMgZn2In at its relaxed geometry.

```
LaMgZn2In
1.0
-2.2217 2.2217 5.7908
2.2217 -2.2217 5.7908
2.2217 2.2217 -5.7908
La Mg Zn In
1 1 2 1
Direct
0.0000 0.0000 0.0000 La
0.2500 0.7500 0.5000 Mg
0.3941 0.3941 0.0000 Zn
0.6059 0.6059 0.0000 Zn
0.7500 0.2500 0.5000 In
```

Its space group is No. 119. The raw total energy comes out at -2.72 eV per atom.



Entry 5:
## LaMg2Zn2In2 (PBE-GGA)

Data for crystalline LaMg2Zn2In2 at its relaxed geometry.

```
LaMg2Zn2In2
1.0
2.3517 1.3577 8.6957
-2.3517 1.3577 8.6957
0.0000 -2.7155 8.6957
La Mg Zn In
1 2 2 2
Direct
0.0000 0.0000 0.0000 La
0.1350 0.1350 0.1350 Mg
0.8650 0.8650 0.8650 Mg
0.4029 0.4029 0.4029 Zn
0.5971 0.5971 0.5971 Zn
0.2520 0.2520 0.2520 In
0.7480 0.7480 0.7480 In
```

Its space group is No. 166. The raw total energy comes out at -2.59 eV per atom.



Entry 6:
## La2MnIn2 (PBE-GGA)

Data for crystalline La2MnIn2 at its relaxed geometry.

```
La2MnIn2
1.0
7.3910 0.0000 0.0000
0.0000 7.3910 0.0000
0.0000 0.0000 4.9977
La Mn In
4 2 4
Direct
0.1637 0.3363 0.0000 La
0.3363 0.8363 0.0000 La
0.6637 0.1637 0.0000 La
0.8363 0.6637 0.0000 La
0.0000 0.0000 0.5000 Mn
0.5000 0.5000 0.5000 Mn
0.1467 0.6467 0.5000 In
0.3533 0.1467 0.5000 In
0.6467 0.8533 0.5000 In
0.8533 0.3533 0.5000 In
```

Its space group is No. 127. The distance to the lowest polymorph of the same formula is 0.00 eV per formula unit. The raw total energy comes out at -4.76 eV per atom.